Entry 1:
This record from the Alexandria database describes Mg6SnPd12 after structural relaxation. The functional is PBE-GGA.

Geometry as extended XYZ:
```
19
Lattice="5.5518 3.2053 3.0564 -5.5518 3.2053 3.0564 0.0000 -6.4106 3.0564" Properties=species:S:1:pos:R:3 pbc="T T T"
Mg -1.5555 -0.8981 2.2009
Mg 1.5555 -0.8981 2.2009
Mg 0.0000 1.7961 2.2009
Mg 0.0000 -1.7961 6.9683
Mg -1.5555 0.8981 6.9683
Mg 1.5555 0.8981 6.9683
Sn 0.0000 0.0000 4.5846
Pd 0.0000 -3.8947 2.6073
Pd -3.3729 1.9473 2.6073
Pd -1.4396 -2.4934 4.5846
Pd -2.8791 0.0000 4.5846
Pd -3.3729 -1.9473 6.5619
Pd 1.4396 -2.4934 4.5846
Pd -1.4396 2.4934 4.5846
Pd 3.3729 1.9473 2.6073
Pd 2.8791 0.0000 4.5846
Pd 1.4396 2.4934 4.5846
Pd 3.3729 -1.9473 6.5619
Pd 0.0000 3.8947 6.5619
```

Computed properties:
ΔH_f (0 K), meV per atom: -387
Electronic total energy, eV per atom: -4.381
M_tot, μB per cell: 0.00

---

Entry 2:
This record from the Alexandria database describes Mg2SnPd after structural relaxation. The functional is PBE-GGA.

Geometry as extended XYZ:
```
4
Lattice="4.2997 0.0000 0.0000 0.0000 4.2997 0.0000 0.0000 0.0000 4.1464" Properties=species:S:1:pos:R:3 pbc="T T T"
Mg 0.0000 2.1499 0.0000
Mg 2.1499 0.0000 0.0000
Sn 0.0000 0.0000 2.0732
Pd 2.1499 2.1499 2.0732
```

Computed properties:
ΔH_f (0 K), meV per atom: -409
Electronic total energy, eV per atom: -3.505
M_tot, μB per cell: 0.00

---

Entry 3:
This record from the Alexandria database describes MgSn2Pd9 after structural relaxation. The functional is PBE-GGA.

Geometry as extended XYZ:
```
12
Lattice="4.0248 0.0000 0.0000 0.0000 4.0248 0.0000 0.0000 0.0000 11.9887" Properties=species:S:1:pos:R:3 pbc="T T T"
Mg 0.0000 0.0000 0.0000
Sn 0.0000 0.0000 3.9499
Sn 0.0000 0.0000 8.0388
Pd 0.0000 2.0124 1.9686
Pd 0.0000 2.0124 5.9943
Pd 0.0000 2.0124 10.0201
Pd 2.0124 0.0000 1.9686
Pd 2.0124 0.0000 5.9943
Pd 2.0124 0.0000 10.0201
Pd 2.0124 2.0124 0.0000
Pd 2.0124 2.0124 3.9887
Pd 2.0124 2.0124 8.0000
```

Computed properties:
ΔH_f (0 K), meV per atom: -495
Electronic total energy, eV per atom: -5.189
M_tot, μB per cell: 0.00

---

Entry 4:
This record from the Alexandria database describes MgSnPd2 after structural relaxation. The functional is PBE-GGA.

Geometry as extended XYZ:
```
4
Lattice="2.1522 1.2425 4.7203 -2.1522 1.2425 4.7203 0.0000 -2.4851 4.7203" Properties=species:S:1:pos:R:3 pbc="T T T"
Mg 0.0000 0.0000 0.0000
Sn 0.0000 0.0000 2.8071
Pd 0.0000 0.0000 5.8517
Pd 0.0000 0.0000 8.7357
```

Computed properties:
ΔH_f (0 K), meV per atom: -448
Electronic total energy, eV per atom: -4.444
M_tot, μB per cell: 0.00

---

Entry 5:
This record from the Alexandria database describes MgSnPd6 after structural relaxation. The functional is PBE-GGA.

Geometry as extended XYZ:
```
8
Lattice="5.1281 0.0000 0.0000 -0.4013 5.1269 0.0000 -0.3955 -0.4303 5.1240" Properties=species:S:1:pos:R:3 pbc="T T T"
Mg 0.0000 0.0000 0.0000
Sn 2.1657 2.3483 2.5620
Pd -0.2111 1.9613 3.8439
Pd 0.6807 4.6119 2.8544
Pd 1.9594 3.8222 0.2706
Pd 2.3719 0.8743 4.8534
Pd 3.6507 0.0846 2.2697
Pd 4.5425 2.7353 1.2801
```

Computed properties:
ΔH_f (0 K), meV per atom: -373
Electronic total energy, eV per atom: -4.967
M_tot, μB per cell: 0.00
Distance to the lowest polymorph of the same formula, meV per atom: 120

---

Entry 6:
This record from the Alexandria database describes MgSnPd2 after structural relaxation. The functional is PBE-GGA.

Geometry as extended XYZ:
```
4
Lattice="0.0000 3.2476 3.2476 3.2476 0.0000 3.2476 3.2476 3.2476 0.0000" Properties=species:S:1:pos:R:3 pbc="T T T"
Mg 0.0000 0.0000 0.0000
Sn 3.2476 3.2476 3.2476
Pd 1.6238 1.6238 1.6238
Pd 4.8714 4.8714 4.8714
```

Computed properties:
ΔH_f (0 K), meV per atom: -672
Electronic total energy, eV per atom: -4.668
M_tot, μB per cell: 0.00

---

Entry 7:
This record from the Alexandria database describes Mg4Sn2Pd after structural relaxation. The functional is PBE-GGA.

Geometry as extended XYZ:
```
7
Lattice="-2.4586 2.4586 7.4575 2.4586 -2.4586 7.4575 2.4586 2.4586 -7.4575" Properties=species:S:1:pos:R:3 pbc="T T T"
Mg 2.4586 0.0000 0.0000
Mg 0.0000 0.0000 2.5949
Mg 0.0000 2.4586 0.0000
Mg 0.0000 0.0000 12.3201
Sn 0.0000 0.0000 5.4769
Sn 0.0000 0.0000 9.4380
Pd 0.0000 0.0000 0.0000
```

Computed properties:
ΔH_f (0 K), meV per atom: -74
Electronic total energy, eV per atom: -2.871
M_tot, μB per cell: 0.00
Distance to the lowest polymorph of the same formula, meV per atom: 189

---

Entry 8:
This record from the Alexandria database describes Mg2Sn2Pd5 after structural relaxation. The functional is PBE-GGA.

Geometry as extended XYZ:
```
18
Lattice="-6.9505 3.4279 3.5138 6.9505 -3.4279 3.5138 6.9505 3.4279 -3.5138" Properties=species:S:1:pos:R:3 pbc="T T T"
Mg 1.8667 0.2472 0.0000
Mg 5.0838 0.2472 0.0000
Mg 1.8667 3.1806 3.5138
Mg 5.0838 3.1806 3.5138
Sn 3.4753 -0.2451 4.2473
Sn 0.0000 3.4279 0.9116
Sn 0.0000 0.0000 4.4255
Sn 3.4753 3.6730 0.7334
Pd 3.4753 2.1009 -1.4883
Pd 8.9986 2.0847 -1.3389
Pd 4.9024 -1.3432 2.1749
Pd 6.2591 2.1967 -1.3612
Pd 7.6420 -1.2311 2.1526
Pd 3.4753 1.3270 2.0256
Pd 0.6915 1.2311 2.1526
Pd 6.2591 1.2311 2.1526
Pd -2.0481 1.3432 2.1749
Pd 8.9986 1.3432 2.1749
```

Computed properties:
ΔH_f (0 K), meV per atom: -464
Electronic total energy, eV per atom: -4.593
M_tot, μB per cell: 0.00

---

Entry 9:
This record from the Alexandria database describes MgSnPd3 after structural relaxation. The functional is PBE-GGA.

Geometry as extended XYZ:
```
10
Lattice="4.6752 0.0000 0.0000 0.4355 4.6566 0.0000 0.2144 2.3253 7.6757" Properties=species:S:1:pos:R:3 pbc="T T T"
Mg 1.2756 1.1577 1.6266
Mg 4.0495 5.8242 6.0491
Sn 1.4924 3.4860 6.0428
Sn 3.8327 3.4959 1.6329
Pd 1.4943 3.4827 2.9972
Pd 1.4954 3.4884 0.0019
Pd 1.7112 5.8121 4.6859
Pd 3.6139 1.1698 2.9898
Pd 3.8297 3.4935 7.6739
Pd 3.8308 3.4992 4.6785
```

Computed properties:
ΔH_f (0 K), meV per atom: -619
Electronic total energy, eV per atom: -4.854
M_tot, μB per cell: 0.00
Distance to the lowest polymorph of the same formula, meV per atom: 0

---

Entry 10:
This record from the Alexandria database describes Mg4SnPd2 after structural relaxation. The functional is PBE-GGA.

Geometry as extended XYZ:
```
7
Lattice="-2.6179 2.6179 6.6777 2.6179 -2.6179 6.6777 2.6179 2.6179 -6.6777" Properties=species:S:1:pos:R:3 pbc="T T T"
Mg 2.6179 0.0000 0.0000
Mg 0.0000 0.0000 2.8135
Mg 0.0000 2.6179 0.0000
Mg 0.0000 0.0000 10.5420
Sn 0.0000 0.0000 0.0000
Pd 0.0000 0.0000 5.3496
Pd 0.0000 0.0000 8.0058
```

Computed properties:
ΔH_f (0 K), meV per atom: 134
Electronic total energy, eV per atom: -2.832
M_tot, μB per cell: 0.00
Distance to the lowest polymorph of the same formula, meV per atom: 489

---

Entry 11:
This record from the Alexandria database describes Sr2Mg2SnPd5 after structural relaxation. The functional is PBE-GGA.

Geometry as extended XYZ:
```
20
Lattice="10.4130 0.0000 0.0000 0.0000 10.4130 0.0000 0.0000 0.0000 3.7771" Properties=species:S:1:pos:R:3 pbc="T T T"
Sr 1.8568 3.3497 0.0000
Sr 3.3497 8.5562 0.0000
Sr 7.0633 1.8568 0.0000
Sr 8.5562 7.0633 0.0000
Mg 1.2560 6.4625 0.0000
Mg 3.9505 1.2560 0.0000
Mg 6.4625 9.1570 0.0000
Mg 9.1570 3.9505 0.0000
Sn 0.0000 0.0000 0.0000
Sn 5.2065 5.2065 0.0000
Pd 0.0000 5.2065 1.8885
Pd 0.6224 8.3083 1.8885
Pd 2.1047 0.6224 1.8885
Pd 3.1018 5.8289 1.8885
Pd 4.5841 3.1018 1.8885
Pd 5.2065 0.0000 1.8885
Pd 5.8289 7.3112 1.8885
Pd 7.3112 4.5841 1.8885
Pd 8.3083 9.7906 1.8885
Pd 9.7906 2.1047 1.8885
```

Computed properties:
ΔH_f (0 K), meV per atom: -560
Electronic total energy, eV per atom: -4.212
M_tot, μB per cell: 0.00

---

Entry 12:
This record from the Alexandria database describes Sr2MgSn4Pd3 after structural relaxation. The functional is PBE-GGA.

Geometry as extended XYZ:
```
10
Lattice="4.6145 0.0000 0.0000 0.0000 4.6145 0.0000 0.0000 0.0000 11.4980" Properties=species:S:1:pos:R:3 pbc="T T T"
Sr 0.0000 2.3072 2.8523
Sr 2.3072 0.0000 8.6456
Mg 0.0000 0.0000 5.7490
Sn 0.0000 0.0000 0.0000
Sn 0.0000 2.3072 7.3672
Sn 2.3072 0.0000 4.1307
Sn 2.3072 2.3072 0.0000
Pd 0.0000 2.3072 10.0415
Pd 2.3072 0.0000 1.4565
Pd 2.3072 2.3072 5.7490
```

Computed properties:
ΔH_f (0 K), meV per atom: -640
Electronic total energy, eV per atom: -4.295
M_tot, μB per cell: 0.00

---

Entry 13:
This record from the Alexandria database describes SrMgSn2Pd after structural relaxation. The functional is PBE-GGA.

Geometry as extended XYZ:
```
5
Lattice="-2.2762 2.2762 6.1302 2.2762 -2.2762 6.1302 2.2762 2.2762 -6.1302" Properties=species:S:1:pos:R:3 pbc="T T T"
Sr 0.0000 0.0000 0.0000
Mg 2.2762 0.0000 3.0651
Sn 0.0000 0.0000 4.6917
Sn 0.0000 0.0000 7.5687
Pd 0.0000 2.2762 3.0651
```

Computed properties:
ΔH_f (0 K), meV per atom: -556
Electronic total energy, eV per atom: -3.851
M_tot, μB per cell: 0.00

---

Entry 14:
This record from the Alexandria database describes SrMg2Sn2Pd2 after structural relaxation. The functional is PBE-GGA.

Geometry as extended XYZ:
```
7
Lattice="2.2877 1.3208 8.9460 -2.2877 1.3208 8.9460 0.0000 -2.6416 8.9460" Properties=species:S:1:pos:R:3 pbc="T T T"
Sr 0.0000 0.0000 0.0000
Mg 0.0000 0.0000 3.7545
Mg 0.0000 0.0000 23.0834
Sn 0.0000 0.0000 6.7870
Sn 0.0000 0.0000 20.0509
Pd 0.0000 0.0000 11.9281
Pd 0.0000 0.0000 14.9098
```

Computed properties:
ΔH_f (0 K), meV per atom: -594
Electronic total energy, eV per atom: -3.918
M_tot, μB per cell: 0.00

---

Entry 15:
This record from the Alexandria database describes Sr2MgSnPd after structural relaxation. The functional is PBE-GGA.

Geometry as extended XYZ:
```
5
Lattice="5.8880 0.0000 0.0000 0.0000 5.8880 0.0000 0.0000 0.0000 5.0843" Properties=species:S:1:pos:R:3 pbc="T T T"
Sr 0.0000 2.9440 0.0000
Sr 2.9440 0.0000 0.0000
Mg 0.0000 0.0000 2.5422
Sn 2.9440 2.9440 2.5422
Pd 2.9440 2.9440 0.0000
```

Computed properties:
ΔH_f (0 K), meV per atom: -345
Electronic total energy, eV per atom: -3.175
M_tot, μB per cell: 0.00

---

Entry 16:
This record from the Alexandria database describes TbMgSn2Pd4 after structural relaxation. The functional is PBE-GGA.

Geometry as extended XYZ:
```
8
Lattice="2.3302 1.3453 7.8989 -2.3302 1.3453 7.8989 0.0000 -2.6907 7.8989" Properties=species:S:1:pos:R:3 pbc="T T T"
Tb 0.0000 0.0000 0.0000
Mg 0.0000 0.0000 11.8483
Sn 0.0000 0.0000 5.8758
Sn 0.0000 0.0000 17.8209
Pd 0.0000 0.0000 3.0351
Pd 0.0000 0.0000 9.1596
Pd 0.0000 0.0000 14.5371
Pd 0.0000 0.0000 20.6615
```

Computed properties:
ΔH_f (0 K), meV per atom: -757
Electronic total energy, eV per atom: -5.132
M_tot, μB per cell: 0.00

---

Entry 17:
This record from the Alexandria database describes TbMgSnPd after structural relaxation. The functional is PBE-GGA.

Geometry as extended XYZ:
```
4
Lattice="0.0000 3.5189 3.5189 3.5189 0.0000 3.5189 3.5189 3.5189 0.0000" Properties=species:S:1:pos:R:3 pbc="T T T"
Tb 0.0000 0.0000 0.0000
Mg 3.5189 3.5189 3.5189
Sn 1.7594 1.7594 1.7594
Pd 5.2783 5.2783 5.2783
```

Computed properties:
ΔH_f (0 K), meV per atom: -617
Electronic total energy, eV per atom: -4.472
M_tot, μB per cell: 0.00

---

Entry 18:
This record from the Alexandria database describes Mg3TcSn3Pd2 after structural relaxation. The functional is PBE-GGA.

Geometry as extended XYZ:
```
9
Lattice="7.6293 0.0000 0.0000 -3.8147 6.6072 0.0000 0.0000 0.0000 3.4257" Properties=species:S:1:pos:R:3 pbc="T T T"
Mg -1.4756 2.5558 0.0000
Mg 2.9511 0.0000 0.0000
Mg 2.3391 4.0514 0.0000
Tc 0.0000 0.0000 0.0000
Sn -2.7469 4.7577 1.7128
Sn 1.0678 1.8495 1.7128
Sn 5.4937 0.0000 1.7128
Pd 0.0000 4.4048 1.7128
Pd 3.8147 2.2024 1.7128
```

Computed properties:
ΔH_f (0 K), meV per atom: -391
Electronic total energy, eV per atom: -4.562
M_tot, μB per cell: 0.00

---

Entry 19:
This record from the Alexandria database describes MgTcSnPd2 after structural relaxation. The functional is PBE-GGA.

Geometry as extended XYZ:
```
5
Lattice="4.8213 0.0000 0.0000 0.0000 4.8213 0.0000 0.0000 0.0000 4.9392" Properties=species:S:1:pos:R:3 pbc="T T T"
Mg 0.0000 0.0000 0.0000
Tc 0.0000 0.0000 2.4696
Sn 2.4106 2.4106 0.0000
Pd 0.0000 2.4106 2.4696
Pd 2.4106 0.0000 2.4696
```

Computed properties:
ΔH_f (0 K), meV per atom: 799
Electronic total energy, eV per atom: -4.471
M_tot, μB per cell: 0.00

---

Entry 20:
This record from the Alexandria database describes MgSn2TePd after structural relaxation. The functional is PBE-GGA.

Geometry as extended XYZ:
```
5
Lattice="5.8863 0.0000 0.0000 0.0000 5.8863 0.0000 0.0000 0.0000 5.1332" Properties=species:S:1:pos:R:3 pbc="T T T"
Mg 0.0000 0.0000 0.0000
Sn 0.0000 2.9432 2.5666
Sn 2.9432 0.0000 2.5666
Te 0.0000 0.0000 2.5666
Pd 2.9432 2.9432 0.0000
```

Computed properties:
Electronic total energy, eV per atom: -2.823
ΔE_f (raw), eV/atom: 0.76
M_tot, μB per cell: 0.00